No. 1
LaTa2Pt after structural relaxation, computed with GGA-PBE.

The structure in POSCAR format:
```
LaTa2Pt
1.0
2.8773 -5.0562 0.0000
2.8773 5.0562 0.0000
-1.0128 0.0000 2.7567
La Ta Pt
1 2 1
Cartesian
0.0000 0.0000 0.0000
0.9322 2.5281 1.3784
0.9322 -2.5281 1.3784
2.8773 0.0000 0.0000
```

Computed properties:
- Volume: 80.2 Å³/f.u.
- ΔH_f (0 K): 0.162 eV/atom
- Space group: C2/m, No. 12


No. 2
TbPmCuRu after structural relaxation, computed with GGA-PBE.

The structure in POSCAR format:
```
TbPmCuRu
1.0
0.0000 3.4854 3.4854
3.4854 0.0000 3.4854
3.4854 3.4854 0.0000
Tb Pm Cu Ru
1 1 1 1
Cartesian
0.0000 0.0000 0.0000
3.4854 3.4854 3.4854
1.7427 1.7427 1.7427
5.2280 5.2280 5.2280
```

Computed properties:
- Volume: 84.7 Å³/f.u.
- ΔH_f (0 K): -0.252 eV/atom
- Space group: F-43m, No. 216


No. 3
RbNb3Ge after structural relaxation, computed with GGA-PBE.

The structure in POSCAR format:
```
RbNb3Ge
1.0
5.0181 0.0000 0.0000
0.0000 5.0181 0.0000
0.0000 0.0000 5.0181
Rb Nb Ge
1 3 1
Cartesian
0.0000 0.0000 0.0000
0.0000 2.5090 2.5090
2.5090 0.0000 2.5090
2.5090 2.5090 0.0000
2.5090 2.5090 2.5090
```

Computed properties:
- Volume: 126.4 Å³/f.u.
- ΔH_f (0 K): 1.366 eV/atom
- Space group: Pm-3m, No. 221


No. 4
SmHfAu4 after structural relaxation, computed with GGA-PBE.

The structure in POSCAR format:
```
SmHfAu4
1.0
3.6795 0.0000 0.0000
0.0000 3.6795 0.0000
0.0000 0.0000 9.0518
Sm Hf Au
1 1 4
Cartesian
0.0000 0.0000 0.0000
1.8398 1.8398 4.5259
0.0000 0.0000 3.1059
0.0000 0.0000 5.9458
1.8398 1.8398 1.6373
1.8398 1.8398 7.4144
```

Computed properties:
- Volume: 122.6 Å³/f.u.
- ΔH_f (0 K): -0.661 eV/atom
- Space group: P4/mmm, No. 123


No. 5
TbPa3S4 after structural relaxation, computed with GGA-PBE.

The structure in POSCAR format:
```
TbPa3S4
1.0
6.8863 0.0000 0.0000
0.0000 7.7840 0.0000
-2.1920 0.0000 6.2562
Tb Pa S
2 6 8
Cartesian
-0.5480 0.9699 1.5640
-1.6440 6.8142 4.6921
-1.6440 2.9430 4.6921
-0.5480 4.8410 1.5640
1.7992 0.9821 4.6921
2.8952 2.9386 1.5640
1.7992 4.8455 4.6921
2.8952 6.8019 1.5640
-0.4831 0.9741 6.2524
0.6127 2.9012 3.1213
-0.4833 4.8828 6.2494
0.6129 6.8100 3.1243
4.0814 0.9741 3.1318
5.1776 2.9012 0.0068
4.0816 4.8828 3.1349
5.1774 6.8100 0.0037
```

Computed properties:
- Volume: 167.7 Å³/f.u.
- Formation energy (no corrections): -1.6932 eV per atom
- Space group: P2/c, No. 13


No. 6
MgAl6Pt3 after structural relaxation, computed with GGA-PBE.

The structure in POSCAR format:
```
MgAl6Pt3
1.0
7.9548 0.0000 0.0000
0.0000 4.0713 0.0000
-1.6829 0.0000 10.3418
Mg Al Pt
2 12 6
Cartesian
-0.3043 1.0178 2.8307
6.5762 3.0535 7.5111
-1.0242 1.0178 9.6120
0.8496 3.0535 4.5159
1.7802 3.0535 1.9482
1.3114 3.0535 7.4035
3.2481 1.0178 0.6887
2.5869 1.0178 5.9855
3.6850 3.0535 4.3563
3.0238 3.0535 9.6531
4.9604 1.0178 2.9383
4.4917 1.0178 8.3936
5.4223 1.0178 5.8259
7.2961 3.0535 0.7298
0.0867 1.0178 5.8804
0.4226 3.0535 9.7907
2.4193 1.0178 3.3545
3.8526 3.0535 6.9873
5.8493 1.0178 0.5512
6.1852 3.0535 4.4614
```

Computed properties:
- Volume: 167.5 Å³/f.u.
- ΔH_f (0 K): -0.735 eV/atom
- Space group: P2_1/m, No. 11


No. 7
GdYAlRh after structural relaxation, computed with GGA-PBE.

The structure in POSCAR format:
```
GdYAlRh
1.0
0.0000 3.5503 3.5503
3.5503 0.0000 3.5503
3.5503 3.5503 0.0000
Gd Y Al Rh
1 1 1 1
Cartesian
0.0000 0.0000 0.0000
3.5503 3.5503 3.5503
1.7751 1.7751 1.7751
5.3254 5.3254 5.3254
```

Computed properties:
- Volume: 89.5 Å³/f.u.
- ΔH_f (0 K): -0.537 eV/atom
- Space group: F-43m, No. 216


No. 8
CePa2Nb after structural relaxation, computed with GGA-PBE.

The structure in POSCAR format:
```
CePa2Nb
1.0
0.0000 3.5921 3.5921
3.5921 0.0000 3.5921
3.5921 3.5921 0.0000
Ce Pa Nb
1 2 1
Cartesian
0.0000 0.0000 0.0000
1.7961 1.7961 1.7961
5.3882 5.3882 5.3882
3.5921 3.5921 3.5921
```

Computed properties:
- Volume: 92.7 Å³/f.u.
- ΔH_f (0 K): 0.239 eV/atom
- Space group: Fm-3m, No. 225


No. 9
K3RbCa after structural relaxation, computed with GGA-PBE.

The structure in POSCAR format:
```
K3RbCa
1.0
7.6570 0.0000 0.0000
0.0000 7.6570 0.0000
0.0000 0.0000 7.6570
K Rb Ca
3 1 1
Cartesian
0.0000 0.0000 3.8285
0.0000 3.8285 0.0000
3.8285 0.0000 0.0000
3.8285 3.8285 3.8285
0.0000 0.0000 0.0000
```

Computed properties:
- Volume: 448.9 Å³/f.u.
- ΔH_f (0 K): 0.309 eV/atom
- Space group: Pm-3m, No. 221


No. 10
NiSb2Pt after structural relaxation, computed with GGA-PBE.

The structure in POSCAR format:
```
NiSb2Pt
1.0
-1.5666 1.9887 6.2609
1.5666 -1.9887 6.2609
1.5666 1.9887 -6.2609
Ni Sb Pt
1 2 1
Cartesian
0.0000 0.0000 0.0000
1.5666 0.0000 2.2766
0.0000 0.0000 5.6082
0.0000 1.9887 3.6973
```

Computed properties:
- Volume: 78.0 Å³/f.u.
- Formation energy (no corrections): -0.1018 eV per atom
- Space group: Imm2, No. 44


No. 11
LiPuCdIn after structural relaxation, computed with GGA-PBE.

The structure in POSCAR format:
```
LiPuCdIn
1.0
0.0000 3.6402 3.6402
3.6402 0.0000 3.6402
3.6402 3.6402 0.0000
Li Pu Cd In
1 1 1 1
Cartesian
0.0000 0.0000 0.0000
3.6402 3.6402 3.6402
5.4603 5.4603 5.4603
1.8201 1.8201 1.8201
```

Computed properties:
- Volume: 96.5 Å³/f.u.
- ΔH_f (0 K): -0.074 eV/atom
- Space group: F-43m, No. 216


No. 12
LaHoAlTl after structural relaxation, computed with GGA-PBE.

The structure in POSCAR format:
```
LaHoAlTl
1.0
0.0000 3.8007 3.8007
3.8007 0.0000 3.8007
3.8007 3.8007 0.0000
La Ho Al Tl
1 1 1 1
Cartesian
0.0000 0.0000 0.0000
3.8007 3.8007 3.8007
1.9004 1.9004 1.9004
5.7011 5.7011 5.7011
```

Computed properties:
- Volume: 109.8 Å³/f.u.
- ΔH_f (0 K): -0.346 eV/atom
- Space group: F-43m, No. 216


No. 13
Zn2In3Br8 after structural relaxation, computed with GGA-PBE.

The structure in POSCAR format:
```
Zn2In3Br8
1.0
3.8746 2.2370 8.5816
-3.8746 2.2370 8.5816
0.0000 -4.4740 8.5816
Zn In Br
2 3 8
Cartesian
0.0000 0.0000 2.7087
0.0000 0.0000 23.0359
0.0000 0.0000 8.0024
0.0000 0.0000 12.8723
0.0000 0.0000 17.7422
0.0000 0.0000 5.0959
0.0000 -2.1410 10.5535
-1.8542 1.0705 10.5535
-1.8542 -1.0705 15.1912
1.8542 1.0705 10.5535
1.8542 -1.0705 15.1912
0.0000 2.1410 15.1912
0.0000 0.0000 20.6488
```

Computed properties:
- Volume: 446.3 Å³/f.u.
- Formation energy (no corrections): -0.6702 eV per atom
- Space group: R-3m, No. 166


No. 14
Ti2SbSe after structural relaxation, computed with GGA-PBE.

The structure in POSCAR format:
```
Ti2SbSe
1.0
-2.9895 2.9895 6.2476
2.9895 -2.9895 6.2476
2.9895 2.9895 -6.2476
Ti Sb Se
4 2 2
Cartesian
4.4843 1.3171 -1.5619
1.3171 1.4948 1.5619
-1.4948 1.6724 4.6857
1.6724 1.4948 7.8095
2.9895 0.0000 3.1238
0.0000 0.0000 6.2476
0.0000 0.0000 0.0000
0.0000 2.9895 3.1238
```

Computed properties:
- Volume: 111.7 Å³/f.u.
- Formation energy (no corrections): -0.1910 eV per atom
- Space group: I-42d, No. 122


No. 15
La4PmH10 after structural relaxation, computed with GGA-PBE.

The structure in POSCAR format:
```
La4PmH10
1.0
1.9746 1.1400 16.1478
-1.9746 1.1400 16.1478
0.0000 -2.2800 16.1478
La Pm H
4 1 10
Cartesian
0.0000 0.0000 4.8945
0.0000 0.0000 14.5148
0.0000 0.0000 33.9286
0.0000 0.0000 43.5489
0.0000 0.0000 24.2217
0.0000 0.0000 2.4622
0.0000 0.0000 7.3448
0.0000 0.0000 12.0776
0.0000 0.0000 16.9495
0.0000 0.0000 21.8832
0.0000 0.0000 26.5602
0.0000 0.0000 31.4940
0.0000 0.0000 36.3659
0.0000 0.0000 41.0987
0.0000 0.0000 45.9813
```

Computed properties:
- Volume: 218.1 Å³/f.u.
- Space group: R-3m, No. 166
- Uncorrected energy: -4.52 eV per atom


No. 16
ZnGeAsIrAu after structural relaxation, computed with GGA-PBE.

The structure in POSCAR format:
```
ZnGeAsIrAu
1.0
3.0565 0.0000 0.0000
0.0000 3.6360 0.0000
0.0000 0.0000 8.0287
Zn Ge As Ir Au
1 1 1 1 1
Cartesian
0.0000 0.0000 0.0000
0.0000 1.8180 3.4904
1.5283 1.8180 6.3068
0.0000 0.0000 5.2358
1.5283 1.8180 1.3547
```

Computed properties:
- Volume: 89.2 Å³/f.u.
- ΔH_f (0 K): -0.045 eV/atom
- Space group: Pmm2, No. 25


No. 17
Rb2YSnF after structural relaxation, computed with GGA-PBE.

The structure in POSCAR format:
```
Rb2YSnF
1.0
4.9232 0.0000 0.0000
0.0000 4.9232 0.0000
0.0000 0.0000 7.7199
Rb Y Sn F
2 1 1 1
Cartesian
0.0000 2.4616 0.0000
2.4616 0.0000 0.0000
0.0000 0.0000 3.8599
2.4616 2.4616 3.8599
2.4616 2.4616 0.0000
```

Computed properties:
- Volume: 187.1 Å³/f.u.
- Formation energy (no corrections): -0.7207 eV per atom
- Space group: P4/mmm, No. 123


No. 18
Y4ZrHg after structural relaxation, computed with GGA-PBE.

The structure in POSCAR format:
```
Y4ZrHg
1.0
0.0000 4.4355 4.4355
4.4355 0.0000 4.4355
4.4355 4.4355 0.0000
Y Zr Hg
4 1 1
Cartesian
1.1054 1.1054 1.1054
3.3301 3.3301 1.1054
3.3301 1.1054 3.3301
1.1054 3.3301 3.3301
6.6533 6.6533 6.6533
4.4355 4.4355 4.4355
```

Computed properties:
- Volume: 174.5 Å³/f.u.
- ΔH_f (0 K): 0.406 eV/atom
- Space group: F-43m, No. 216


No. 19
In2TePb after structural relaxation, computed with GGA-PBE.

The structure in POSCAR format:
```
In2TePb
1.0
4.3693 0.0000 0.0000
0.0000 4.9680 0.0000
0.0000 0.0000 5.6207
In Te Pb
2 1 1
Cartesian
0.0000 0.0000 0.0000
2.1847 2.4840 0.0000
0.0000 2.4840 2.8103
2.1847 0.0000 2.8103
```

Computed properties:
- Volume: 122.0 Å³/f.u.
- Formation energy (no corrections): -0.0657 eV per atom
- Space group: Pmmm, No. 47


No. 20
CdB2P after structural relaxation, computed with GGA-PBE.

The structure in POSCAR format:
```
CdB2P
1.0
-2.5840 2.5840 4.3745
2.5840 -2.5840 4.3745
2.5840 2.5840 -4.3745
Cd B P
2 4 2
Cartesian
0.0000 0.0000 0.0000
0.0000 2.5840 2.1873
1.2920 -0.9248 3.2809
1.6591 1.2920 1.0936
1.2920 3.5088 -1.0936
0.9248 1.2920 5.4681
2.5840 0.0000 2.1873
0.0000 0.0000 4.3745
```

Computed properties:
- Volume: 58.4 Å³/f.u.
- ΔH_f (0 K): 0.589 eV/atom
- Space group: I-42d, No. 122


No. 21
SrLaCo2S after structural relaxation, computed with GGA-PBE.

The structure in POSCAR format:
```
SrLaCo2S
1.0
4.4288 0.0000 0.0000
0.0000 4.4288 0.0000
0.0000 0.0000 9.5300
Sr La Co S
1 1 2 1
Cartesian
0.0000 0.0000 0.0000
0.0000 0.0000 4.7650
0.0000 2.2144 4.7650
2.2144 0.0000 4.7650
2.2144 2.2144 0.0000
```

Computed properties:
- Volume: 186.9 Å³/f.u.
- Formation energy (no corrections): 0.6455 eV per atom
- Space group: P4/mmm, No. 123


No. 22
Sc2ReAg after structural relaxation, computed with GGA-PBE.

The structure in POSCAR format:
```
Sc2ReAg
1.0
1.4767 0.8525 9.9761
-1.4767 0.8525 9.9761
0.0000 -1.7051 9.9761
Sc Re Ag
2 1 1
Cartesian
0.0000 0.0000 0.0000
0.0000 0.0000 7.2046
0.0000 0.0000 14.8557
0.0000 0.0000 22.4422
```

Computed properties:
- Volume: 75.4 Å³/f.u.
- ΔH_f (0 K): 0.347 eV/atom
- Space group: R3m, No. 160


No. 23
Sn4Au3 after structural relaxation, computed with GGA-PBE.

The structure in POSCAR format:
```
Sn4Au3
1.0
4.3878 -6.4476 0.0000
4.3878 6.4476 0.0000
-3.7105 0.0000 5.9028
Sn Au
8 6
Cartesian
4.3878 6.4473 0.0000
2.5326 -6.4473 2.9514
1.4725 2.2742 1.9517
4.6176 3.3251 1.1735
-0.3828 -2.2742 4.9031
1.9593 0.8475 4.9969
3.8146 -0.8475 2.0455
2.7624 -3.3251 4.1249
1.1581 4.0579 4.1711
-0.8212 0.7506 5.6645
1.0340 -0.7506 2.7131
4.4476 1.6423 3.4794
3.0134 -4.0579 1.2197
6.3028 -1.6423 0.5280
```

Computed properties:
- Volume: 167.0 Å³/f.u.
- ΔH_f (0 K): -0.097 eV/atom
- Space group: Cc, No. 9


No. 24
Ba2LaPt after structural relaxation, computed with GGA-PBE.

The structure in POSCAR format:
```
Ba2LaPt
1.0
3.8979 0.0000 0.0000
0.0000 3.8979 0.0000
0.0000 0.0000 10.5681
Ba La Pt
2 1 1
Cartesian
0.0000 0.0000 0.0000
1.9489 1.9489 3.7400
0.0000 0.0000 7.0575
1.9489 1.9489 8.3537
```

Computed properties:
- Volume: 160.6 Å³/f.u.
- ΔH_f (0 K): -0.455 eV/atom
- Space group: P4mm, No. 99


No. 25
TaMnIn2 after structural relaxation, computed with GGA-PBE.

The structure in POSCAR format:
```
TaMnIn2
1.0
0.0000 3.2892 3.2892
3.2892 0.0000 3.2892
3.2892 3.2892 0.0000
Ta Mn In
1 1 2
Cartesian
0.0000 0.0000 0.0000
3.2892 3.2892 3.2892
1.6446 1.6446 1.6446
4.9338 4.9338 4.9338
```

Computed properties:
- Volume: 71.2 Å³/f.u.
- ΔH_f (0 K): 0.640 eV/atom
- Space group: Fm-3m, No. 225


no.,density (g cm⁻³)
1,14.41
2,9.19
3,5.74
4,15.13
5,9.71
6,7.65
7,6.98
8,12.45
9,0.90
10,10.58
11,8.23
12,8.09
13,4.15
14,4.41
15,5.41
16,11.21
17,3.53
18,6.16
19,7.68
20,4.69
21,3.34
22,8.46
23,10.60
24,6.29
25,10.86